No. 1
The following is a PBE-GGA calculation of crystalline Tm8Ga2Rh at its relaxed geometry, from Alexandria via LeMat-Bulk.

Cell lengths 9.384, 9.384, 6.480 Å; angles 101.35, 101.35, 30.11 degrees
Positions (direct):
Tm  0.025  0.025  0.279
Tm  0.211  0.211  0.820
Tm  0.349  0.349  0.519
Tm  0.410  0.410  0.045
Tm  0.590  0.590  0.955
Tm  0.651  0.651  0.481
Tm  0.789  0.789  0.180
Tm  0.975  0.975  0.721
Ga  0.188  0.188  0.258
Ga  0.812  0.812  0.742
Rh  0.500  0.500  0.500

Computed properties:
SG	C2/m
crystal system	monoclinic

---

No. 2
The following is a PBE-GGA calculation of crystalline YTmGaRh at its relaxed geometry, from Alexandria via LeMat-Bulk.

Cell lengths 4.935, 4.935, 4.935 Å; angles 60.00, 60.00, 60.00 degrees
Positions (direct):
Y  0.000  0.000  0.000
Tm  0.500  0.500  0.500
Ga  0.250  0.250  0.250
Rh  0.750  0.750  0.750

Computed properties:
SG	F-43m
crystal system	cubic
E above lowest polymorph	50	meV per atom

---

No. 3
The following is a PBE-GGA calculation of crystalline YTmGaRh at its relaxed geometry, from Alexandria via LeMat-Bulk.

Cell lengths 4.287, 5.669, 5.669 Å; angles 40.07, 90.00, 90.00 degrees
Positions (direct):
Y  0.000  0.000  0.000
Tm  0.500  0.284  0.284
Ga  0.500  0.573  0.573
Rh  0.000  0.721  0.721

Computed properties:
SG	Amm2
crystal system	orthorhombic
E above lowest polymorph	0	meV per atom

---

No. 4
The following is a PBE-GGA calculation of crystalline TmZnGaRh at its relaxed geometry, from Alexandria via LeMat-Bulk.

Cell lengths 4.569, 4.569, 4.569 Å; angles 60.00, 60.00, 60.00 degrees
Positions (direct):
Tm  0.000  0.000  0.000
Zn  0.250  0.250  0.250
Ga  0.750  0.750  0.750
Rh  0.500  0.500  0.500

Computed properties:
SG	F-43m
crystal system	cubic

---

No. 5
The following is a PBE-GGA calculation of crystalline Tm2ZnGa2Rh5 at its relaxed geometry, from Alexandria via LeMat-Bulk.

Cell lengths 9.754, 9.754, 3.477 Å; angles 90.00, 90.00, 90.00 degrees
Positions (direct):
Tm  0.173  0.327  0.000
Tm  0.327  0.827  0.000
Tm  0.673  0.173  0.000
Tm  0.827  0.673  0.000
Zn  0.000  0.000  0.000
Zn  0.500  0.500  0.000
Ga  0.127  0.627  0.000
Ga  0.373  0.127  0.000
Ga  0.627  0.873  0.000
Ga  0.873  0.373  0.000
Rh  0.000  0.500  0.500
Rh  0.067  0.799  0.500
Rh  0.201  0.067  0.500
Rh  0.299  0.567  0.500
Rh  0.433  0.299  0.500
Rh  0.500  0.000  0.500
Rh  0.567  0.701  0.500
Rh  0.701  0.433  0.500
Rh  0.799  0.933  0.500
Rh  0.933  0.201  0.500

Computed properties:
SG	P4/mbm
crystal system	tetragonal

---

No. 6
The following is a PBE-GGA calculation of crystalline TmZrGaRh at its relaxed geometry, from Alexandria via LeMat-Bulk.

Cell lengths 4.804, 4.804, 4.804 Å; angles 60.00, 60.00, 60.00 degrees
Positions (direct):
Tm  0.000  0.000  0.000
Zr  0.500  0.500  0.500
Ga  0.250  0.250  0.250
Rh  0.750  0.750  0.750

Computed properties:
SG	F-43m
crystal system	cubic

---

No. 7
The following is a PBE-GGA calculation of crystalline Tm2ZrGa2Rh5 at its relaxed geometry, from Alexandria via LeMat-Bulk.

Cell lengths 9.877, 9.877, 3.555 Å; angles 90.00, 90.00, 90.00 degrees
Positions (direct):
Tm  0.172  0.328  0.000
Tm  0.328  0.828  0.000
Tm  0.672  0.172  0.000
Tm  0.828  0.672  0.000
Zr  0.000  0.000  0.000
Zr  0.500  0.500  0.000
Ga  0.125  0.625  0.000
Ga  0.375  0.125  0.000
Ga  0.625  0.875  0.000
Ga  0.875  0.375  0.000
Rh  0.000  0.500  0.500
Rh  0.069  0.794  0.500
Rh  0.206  0.069  0.500
Rh  0.294  0.569  0.500
Rh  0.431  0.294  0.500
Rh  0.500  0.000  0.500
Rh  0.569  0.706  0.500
Rh  0.706  0.431  0.500
Rh  0.794  0.931  0.500
Rh  0.931  0.206  0.500

Computed properties:
SG	P4/mbm
crystal system	tetragonal

---

No. 8
The following is a PBE-GGA calculation of crystalline UGa2Rh4 at its relaxed geometry, from Alexandria via LeMat-Bulk.

Cell lengths 6.464, 5.692, 4.992 Å; angles 74.14, 57.88, 47.98 degrees
Positions (direct):
U  0.000  0.000  0.000
Ga  0.310  0.310  0.690
Ga  0.690  0.690  0.310
Rh  0.250  0.250  0.250
Rh  0.293  0.707  0.293
Rh  0.707  0.293  0.707
Rh  0.750  0.750  0.750

Computed properties:
SG	Fmmm
crystal system	orthorhombic

---

Number 1: Fermi-level density of states 10.84 states/eV per cell, formation energy from the elements -0.39 eV per atom, calculated volume 280.2 Å³/f.u.. Number 2: Fermi-level density of states 1.86 states/eV per cell, formation energy from the elements -0.71 eV per atom, calculated volume 85.0 Å³/f.u.. Number 3: Fermi-level density of states 2.83 states/eV per cell, formation energy from the elements -0.76 eV per atom, calculated volume 88.7 Å³/f.u.. Number 4: Fermi-level density of states 3.18 states/eV per cell, formation energy from the elements -0.55 eV per atom, calculated volume 67.4 Å³/f.u.. Number 5: Fermi-level density of states 8.76 states/eV per cell, formation energy from the elements -0.75 eV per atom, calculated volume 165.4 Å³/f.u.. Number 6: Fermi-level density of states 2.98 states/eV per cell, formation energy from the elements -0.60 eV per atom, calculated volume 78.4 Å³/f.u.. Number 7: Fermi-level density of states 9.84 states/eV per cell, formation energy from the elements -0.88 eV per atom, calculated volume 173.4 Å³/f.u.. Number 8: Fermi-level density of states 9.56 states/eV per cell, formation energy from the elements -0.54 eV per atom, calculated volume 114.6 Å³/f.u..